# 1
VASP calculation (GGA-PBE) on a geometry-optimized RbY2Pd structure.

a = 8.922 Å, b = 8.922 Å, c = 8.922 Å
α = 126.34°, β = 126.34°, γ = 79.34°
Element x y z (fractional)
1 Rb 0.375 0.625 0.750
2 Rb 0.625 0.375 0.250
3 Y 0.000 0.000 0.000
4 Y 0.000 0.000 0.500
5 Y 0.000 0.500 0.000
6 Y 0.500 0.000 0.500
7 Pd 0.125 0.875 0.250
8 Pd 0.875 0.125 0.750

Computed properties:
Space group: I4_1/amd
Crystal system: tetragonal
D(E_F): 6.1 states/eV/cell
Energy relative to the lowest polymorph listed for this composition: 0.41 eV per formula unit
Size of the total moment: 0.000 μB per cell
ΔH_f (0 K): 0.380 eV per atom


# 2
VASP calculation (GGA-PBE) on a geometry-optimized BaReHg2W structure.

a = 5.411 Å, b = 5.411 Å, c = 4.823 Å
α = 90.00°, β = 90.00°, γ = 90.00°
Element x y z (fractional)
1 Ba 0.000 0.000 0.000
2 Re 0.500 0.500 0.500
3 Hg 0.000 0.500 0.500
4 Hg 0.500 0.000 0.500
5 W 0.500 0.500 0.000

Computed properties:
Space group: P4/mmm
Crystal system: tetragonal
D(E_F): 3.4 states/eV/cell
Size of the total moment: 1.488 μB per cell
ΔH_f (0 K): 0.737 eV per atom


# 3
VASP calculation (GGA-PBE) on a geometry-optimized Y2CoOs structure.

a = 3.276 Å, b = 4.401 Å, c = 5.749 Å
α = 90.00°, β = 90.00°, γ = 90.00°
Element x y z (fractional)
1 Y 0.000 0.000 0.000
2 Y 0.500 0.500 0.379
3 Co 0.000 0.000 0.529
4 Os 0.500 0.500 0.859

Computed properties:
Space group: Pmm2
Crystal system: orthorhombic
D(E_F): 4.7 states/eV/cell
Size of the total moment: 0.931 μB per cell
ΔH_f (0 K): 0.298 eV per atom


# 4
VASP calculation (GGA-PBE) on a geometry-optimized K3B2H8 structure.

a = 12.007 Å, b = 12.007 Å, c = 12.007 Å
α = 22.49°, β = 22.49°, γ = 22.49°
Element x y z (fractional)
1 K 0.000 0.000 0.000
2 K 0.223 0.223 0.223
3 K 0.777 0.777 0.777
4 B 0.388 0.388 0.388
5 B 0.612 0.612 0.612
6 H 0.256 0.256 0.685
7 H 0.256 0.685 0.256
8 H 0.315 0.744 0.744
9 H 0.352 0.352 0.352
10 H 0.648 0.648 0.648
11 H 0.685 0.256 0.256
12 H 0.744 0.315 0.744
13 H 0.744 0.744 0.315

Computed properties:
Space group: R-3m
Crystal system: trigonal
D(E_F): 1.3 states/eV/cell
Size of the total moment: 0.000 μB per cell
VASP energy: -48.31 eV/cell


# 5
VASP calculation (GGA-PBE) on a geometry-optimized HgSbPb3 structure.

a = 5.690 Å, b = 5.690 Å, c = 5.690 Å
α = 90.00°, β = 90.00°, γ = 90.00°
Element x y z (fractional)
1 Hg 0.000 0.000 0.000
2 Sb 0.500 0.500 0.500
3 Pb 0.000 0.000 0.500
4 Pb 0.000 0.500 0.000
5 Pb 0.500 0.000 0.000

Computed properties:
Space group: Pm-3m
Crystal system: cubic
D(E_F): 2.6 states/eV/cell
Energy relative to the lowest polymorph listed for this composition: 2.37 eV per formula unit
ΔE_f (raw): 0.494 eV per atom
Size of the total moment: 0.000 μB per cell


# 6
VASP calculation (GGA-PBE) on a geometry-optimized YTe2As2 structure.

a = 7.712 Å, b = 7.712 Å, c = 4.340 Å
α = 90.00°, β = 90.00°, γ = 90.00°
Element x y z (fractional)
1 Y 0.000 0.000 0.000
2 Y 0.500 0.500 0.000
3 Te 0.196 0.304 0.500
4 Te 0.304 0.804 0.500
5 Te 0.696 0.196 0.500
6 Te 0.804 0.696 0.500
7 As 0.137 0.637 0.000
8 As 0.363 0.137 0.000
9 As 0.637 0.863 0.000
10 As 0.863 0.363 0.000

Computed properties:
Space group: P4/mbm
Crystal system: tetragonal
D(E_F): 4.1 states/eV/cell
Energy relative to the lowest polymorph listed for this composition: 0.00 eV per formula unit
ΔE_f (raw): -0.410 eV per atom
Size of the total moment: 0.000 μB per cell


# 7
VASP calculation (GGA-PBE) on a geometry-optimized CeDyEr2 structure.

a = 11.508 Å, b = 11.508 Å, c = 6.385 Å
α = 94.31°, β = 94.31°, γ = 16.88°
Element x y z (fractional)
1 Ce 0.001 0.001 0.210
2 Ce 0.999 0.999 0.790
3 Dy 0.250 0.250 0.257
4 Dy 0.750 0.750 0.743
5 Er 0.125 0.125 0.538
6 Er 0.377 0.377 0.962
7 Er 0.623 0.623 0.038
8 Er 0.875 0.875 0.462

Computed properties:
Space group: C2/m
Crystal system: monoclinic
D(E_F): 14.3 states/eV/cell
Energy relative to the lowest polymorph listed for this composition: 0.24 eV per formula unit
Size of the total moment: 0.000 μB per cell
ΔH_f (0 K): 0.113 eV per atom


# 8
VASP calculation (GGA-PBE) on a geometry-optimized Co2CuPb structure.

a = 9.321 Å, b = 9.321 Å, c = 9.321 Å
α = 156.06°, β = 156.06°, γ = 34.11°
Element x y z (fractional)
1 Co 0.034 0.625 0.909
2 Co 0.375 0.284 0.409
3 Co 0.716 0.125 0.091
4 Co 0.875 0.966 0.591
5 Cu 0.000 0.000 0.000
6 Cu 0.750 0.250 0.500
7 Pb 0.250 0.750 0.500
8 Pb 0.500 0.500 0.000

Computed properties:
Space group: I-42d
Crystal system: tetragonal
D(E_F): 4.5 states/eV/cell
Size of the total moment: 5.845 μB per cell
ΔH_f (0 K): 0.611 eV per atom


# 9
VASP calculation (GGA-PBE) on a geometry-optimized Ba3NbAg2O8 structure.

a = 5.940 Å, b = 5.940 Å, c = 8.013 Å
α = 90.00°, β = 90.00°, γ = 120.00°
Element x y z (fractional)
1 Ba 0.000 0.000 0.000
2 Ba 0.333 0.667 0.628
3 Ba 0.667 0.333 0.372
4 Nb 0.000 0.000 0.500
5 Ag 0.333 0.667 0.190
6 Ag 0.667 0.333 0.810
7 O 0.158 0.315 0.352
8 O 0.158 0.842 0.352
9 O 0.315 0.158 0.648
10 O 0.333 0.667 0.941
11 O 0.667 0.333 0.059
12 O 0.685 0.842 0.352
13 O 0.842 0.158 0.648
14 O 0.842 0.685 0.648

Computed properties:
Space group: P-3m1
Crystal system: trigonal
D(E_F): 10.4 states/eV/cell
ΔE_f (raw): -1.689 eV per atom
Size of the total moment: 2.969 μB per cell


# 10
VASP calculation (GGA-PBE) on a geometry-optimized TiBiPO2 structure.

a = 4.151 Å, b = 4.151 Å, c = 5.464 Å
α = 90.00°, β = 90.00°, γ = 90.00°
Element x y z (fractional)
1 Ti 0.000 0.000 0.000
2 Bi 0.500 0.500 0.500
3 P 0.500 0.500 0.000
4 O 0.000 0.500 0.500
5 O 0.500 0.000 0.500

Computed properties:
Space group: P4/mmm
Crystal system: tetragonal
D(E_F): 7.2 states/eV/cell
Energy relative to the lowest polymorph listed for this composition: 6.34 eV per formula unit
ΔE_f (raw): -0.063 eV per atom
Size of the total moment: 1.475 μB per cell


# 11
VASP calculation (GGA-PBE) on a geometry-optimized Ba2CdIn6Rh structure.

a = 7.221 Å, b = 7.221 Å, c = 6.410 Å
α = 90.00°, β = 90.00°, γ = 120.00°
Element x y z (fractional)
1 Ba 0.333 0.667 0.187
2 Ba 0.667 0.333 0.813
3 Cd 0.000 0.000 0.000
4 In 0.189 0.378 0.699
5 In 0.189 0.811 0.699
6 In 0.378 0.189 0.301
7 In 0.622 0.811 0.699
8 In 0.811 0.189 0.301
9 In 0.811 0.622 0.301
10 Rh 0.000 0.000 0.500

Computed properties:
Space group: P-3m1
Crystal system: trigonal
D(E_F): 7.8 states/eV/cell
Size of the total moment: 0.000 μB per cell
ΔH_f (0 K): -0.318 eV per atom


What is the formula in the fifth record? HgSbPb3